#P
Computed, not measured: a relaxed structure of DyLuIr2 at the PBE-GGA level of DFT.

M_tot   0.005 μB per cell
ρ   15.4 Mg/m³

Cell and atoms, written as CIF:
```
data_DyLuIr2
_chemical_formula_sum 'Dy4 Lu4 Ir8'
_cell_length_a 6.7825
_cell_length_b 6.7825
_cell_length_c 6.7825
_cell_angle_alpha 90.00
_cell_angle_beta 90.00
_cell_angle_gamma 90.00
_space_group_name_H-M_alt 'F m -3 m'
_space_group_IT_number 225
_space_group_name_Hall '-F 4 2 3'
loop_
_atom_site_label
_atom_site_fract_x
_atom_site_fract_y
_atom_site_fract_z
Dy1 0.0000 0.0000 0.0000
Lu1 0.0000 0.0000 0.5000
Ir1 0.2500 0.2500 0.2500
```

***

#Q
Computed, not measured: a relaxed structure of DyLuIr2 at the PBE-GGA level of DFT.

M_tot   0.000 μB per cell
ρ   15.4 Mg/m³

Cell and atoms, written as CIF:
```
data_DyLuIr2
_chemical_formula_sum 'Dy1 Lu1 Ir2'
_cell_length_a 4.6804
_cell_length_b 4.6804
_cell_length_c 3.5527
_cell_angle_alpha 90.00
_cell_angle_beta 90.00
_cell_angle_gamma 90.00
_space_group_name_H-M_alt 'P 4/m m m'
_space_group_IT_number 123
_space_group_name_Hall '-P 4 2'
loop_
_atom_site_label
_atom_site_fract_x
_atom_site_fract_y
_atom_site_fract_z
Dy1 0.0000 0.0000 0.0000
Lu1 0.5000 0.5000 0.0000
Ir1 0.0000 0.5000 0.5000
```

***

The structure with the greatest stability is #Q.

***

#P
Computed, not measured: a relaxed structure of NaDy2Ir at the PBE-GGA level of DFT.

M_tot   0.000 μB per cell
ρ   6.2 Mg/m³

Cell and atoms, written as CIF:
```
data_NaDy2Ir
_chemical_formula_sum 'Na3 Dy6 Ir3'
_cell_length_a 4.0338
_cell_length_b 4.0338
_cell_length_c 31.0038
_cell_angle_alpha 90.00
_cell_angle_beta 90.00
_cell_angle_gamma 120.00
_space_group_name_H-M_alt 'R -3 m'
_space_group_IT_number 166
_space_group_name_Hall '-R 3 2"'
loop_
_atom_site_label
_atom_site_fract_x
_atom_site_fract_y
_atom_site_fract_z
Na1 0.0000 0.0000 0.0000
Dy1 0.0000 0.0000 0.1202
Ir1 0.0000 0.0000 0.5000
```

***

#Q
Computed, not measured: a relaxed structure of NaDy2Ir at the PBE-GGA level of DFT.

M_tot   0.000 μB per cell
ρ   7.9 Mg/m³

Cell and atoms, written as CIF:
```
data_NaDy2Ir
_chemical_formula_sum 'Na1 Dy2 Ir1'
_cell_length_a 3.4658
_cell_length_b 3.4658
_cell_length_c 9.4964
_cell_angle_alpha 90.00
_cell_angle_beta 90.00
_cell_angle_gamma 90.00
_space_group_name_H-M_alt 'P 4/m m m'
_space_group_IT_number 123
_space_group_name_Hall '-P 4 2'
loop_
_atom_site_label
_atom_site_fract_x
_atom_site_fract_y
_atom_site_fract_z
Na1 0.0000 0.0000 0.0000
Dy1 0.5000 0.5000 0.3303
Ir1 0.0000 0.0000 0.5000
```

***

The structure with the greatest stability is #Q.

***

#P
Computed, not measured: a relaxed structure of NaDyIrO4 at the PBE-GGA level of DFT.

M_tot   4.269 μB per cell
ρ   8.7 Mg/m³

Cell and atoms, written as CIF:
```
data_NaDyIrO4
_chemical_formula_sum 'Na6 Dy6 Ir6 O24'
_cell_length_a 3.2533
_cell_length_b 16.0879
_cell_length_c 9.6120
_cell_angle_alpha 90.00
_cell_angle_beta 90.00
_cell_angle_gamma 90.00
_space_group_name_H-M_alt 'A m m 2'
_space_group_IT_number 38
loop_
_space_group_symop_operation_xyz
'x,y,z'
'-x,-y,z'
'-x,y,z'
'x,-y,z'
'x,y+1/2,z+1/2'
'-x,-y+1/2,z+1/2'
'-x,y+1/2,z+1/2'
'x,-y+1/2,z+1/2'
loop_
_atom_site_label
_atom_site_fract_x
_atom_site_fract_y
_atom_site_fract_z
Na1 0.0000 0.0000 0.0000
Na2 0.5000 0.1510 0.8690
Dy1 0.5000 0.0000 0.3191
Dy2 0.5000 0.1725 0.5342
Ir1 0.0000 0.0000 0.6875
Ir2 0.0000 0.1612 0.1857
O1 0.0000 0.0970 0.3755
O2 0.0000 0.1254 0.6804
O3 0.0000 0.2278 0.0080
O4 0.5000 0.0000 0.5587
O5 0.5000 0.0000 0.8175
O6 0.5000 0.0895 0.1240
O7 0.5000 0.2265 0.2474
```

***

#Q
Computed, not measured: a relaxed structure of NaDyIrO4 at the PBE-GGA level of DFT.

M_tot   2.766 μB per cell
ρ   7.3 Mg/m³

Cell and atoms, written as CIF:
```
data_NaDyIrO4
_chemical_formula_sum 'Na4 Dy4 Ir4 O16'
_cell_length_a 6.5262
_cell_length_b 6.8996
_cell_length_c 8.8668
_cell_angle_alpha 90.00
_cell_angle_beta 90.00
_cell_angle_gamma 90.00
_space_group_name_H-M_alt 'I m m a'
_space_group_IT_number 74
_space_group_name_Hall '-I 2b 2'
loop_
_atom_site_label
_atom_site_fract_x
_atom_site_fract_y
_atom_site_fract_z
Na1 0.0000 0.2500 0.1175
Dy1 0.0000 0.0000 0.5000
Ir1 0.2500 0.2500 0.7500
O1 0.0000 0.0655 0.7550
O2 0.2205 0.2500 0.5191
```

***

The structure with the greatest stability is #P.